# 1
# BaAcScSe4 PBE relaxed
# Spin magnetization (μB/f.u.): 0.000
# Calculated total energy (eV/atom): -5.6164
# Energy relative to the elements, uncorrected (eV/f.u.): -13.0
data_BaAcScSe4
_symmetry_space_group_name_H-M 'C m c m'
_symmetry_Int_Tables_number 63
_symmetry_space_group_name_Hall '-C 2c 2'
_cell_length_a 7.2091
_cell_length_b 16.1824
_cell_length_c 7.2629
_cell_angle_alpha 90.00
_cell_angle_beta 90.00
_cell_angle_gamma 90.00
loop_
_atom_site_label
_atom_site_fract_x
_atom_site_fract_y
_atom_site_fract_z
Ba1 0.0000 0.1082 0.2500
Ac1 0.0000 0.3835 0.2500
Sc1 0.0000 0.2492 0.7500
Se1 0.0000 0.0842 0.7500
Se2 0.0000 0.4277 0.7500
Se3 0.2500 0.2500 0.0000

# 2
# V8Re6W PBE relaxed
# Spin magnetization (μB/f.u.): 0.000
# D(E_F) (states/eV per cell): 36.61
# Calculated total energy (eV/atom): -10.6520
data_V8Re6W
_symmetry_space_group_name_H-M 'R -3'
_symmetry_Int_Tables_number 148
_symmetry_space_group_name_Hall '-R 3'
_cell_length_a 6.8285
_cell_length_b 6.8285
_cell_length_c 16.5441
_cell_angle_alpha 90.00
_cell_angle_beta 90.00
_cell_angle_gamma 120.00
loop_
_atom_site_label
_atom_site_fract_x
_atom_site_fract_y
_atom_site_fract_z
V1 0.0000 0.0000 0.2503
V2 0.9997 0.2573 0.3703
Re1 0.0018 0.7547 0.1211
W1 0.0000 0.0000 0.5000

What is the calculated total energy in the first record? -5.6164 eV/atom

calculated total energy of number 1 (BaAcScSe4)? -5.6164 eV/atom